# AcLaPm2P4 (PBE-GGA, relaxed)
# theoretical density	5.97	g/cm³
# N(E_F)	0.7	states/eV/cell
# energy relative to the elements	-1523	meV per atom
data_AcLaPm2P4
_chemical_formula_sum 'Ac1 La1 Pm2 P4'
_symmetry_space_group_name_H-M 'P 1 2/m 1'
_symmetry_Int_Tables_number 10
_cell_length_a 7.3537
_cell_length_b 4.2479
_cell_length_c 7.3660
_cell_angle_alpha 90.00
_cell_angle_beta 109.40
_cell_angle_gamma 90.00
loop_
_symmetry_equiv_pos_as_xyz
'x,y,z'
'-x,-y,-z'
'-x,y,-z'
'x,-y,z'
loop_
_atom_site_label
_atom_site_fract_x
_atom_site_fract_y
_atom_site_fract_z
_atom_site_occupancy
Ac1 0.0000 0.0000 0.0000 1
La1 0.5000 0.5000 0.0000 1
Pm1 0.0000 0.5000 0.5000 1
Pm2 0.5000 0.0000 0.5000 1
P1 0.2511 0.0000 0.7405 1
P2 0.2587 0.5000 0.2629 1

***

# AcLaPr2P4 (PBE-GGA, relaxed)
# theoretical density	5.76	g/cm³
# N(E_F)	0.8	states/eV/cell
# energy relative to the elements	-1507	meV per atom
data_AcLaPr2P4
_chemical_formula_sum 'Ac1 La1 Pr2 P4'
_symmetry_space_group_name_H-M 'P 1 2/m 1'
_symmetry_Int_Tables_number 10
_cell_length_a 7.4167
_cell_length_b 4.2847
_cell_length_c 7.4270
_cell_angle_alpha 90.00
_cell_angle_beta 109.40
_cell_angle_gamma 90.00
loop_
_symmetry_equiv_pos_as_xyz
'x,y,z'
'-x,-y,-z'
'-x,y,-z'
'x,-y,z'
loop_
_atom_site_label
_atom_site_fract_x
_atom_site_fract_y
_atom_site_fract_z
_atom_site_occupancy
Ac1 0.0000 0.0000 0.0000 1
La1 0.5000 0.5000 0.0000 1
Pr1 0.0000 0.5000 0.5000 1
Pr2 0.5000 0.0000 0.5000 1
P1 0.2525 0.0000 0.7446 1
P2 0.2573 0.5000 0.2587 1

***

# AcLa2PrP4 (PBE-GGA, relaxed)
# theoretical density	5.67	g/cm³
# N(E_F)	0.8	states/eV/cell
# energy relative to the elements	-1522	meV per atom
data_AcLa2PrP4
_chemical_formula_sum 'Ac1 La2 Pr1 P4'
_symmetry_space_group_name_H-M 'P 1 2/m 1'
_symmetry_Int_Tables_number 10
_cell_length_a 7.4501
_cell_length_b 4.3053
_cell_length_c 7.4562
_cell_angle_alpha 90.00
_cell_angle_beta 109.42
_cell_angle_gamma 90.00
loop_
_symmetry_equiv_pos_as_xyz
'x,y,z'
'-x,-y,-z'
'-x,y,-z'
'x,-y,z'
loop_
_atom_site_label
_atom_site_fract_x
_atom_site_fract_y
_atom_site_fract_z
_atom_site_occupancy
Ac1 0.0000 0.0000 0.0000 1
La1 0.5000 0.0000 0.5000 1
La2 0.5000 0.5000 0.0000 1
Pr1 0.0000 0.5000 0.5000 1
P1 0.2518 0.0000 0.7453 1
P2 0.2558 0.5000 0.2575 1

***

# Ac2La3PrP6 (PBE-GGA, relaxed)
# theoretical density	5.80	g/cm³
# N(E_F)	1.1	states/eV/cell
# energy relative to the elements	-1519	meV per atom
data_Ac2La3PrP6
_chemical_formula_sum 'Ac4 La6 Pr2 P12'
_symmetry_space_group_name_H-M 'C 1 2/m 1'
_symmetry_Int_Tables_number 12
_cell_length_a 7.4927
_cell_length_b 12.9754
_cell_length_c 7.4871
_cell_angle_alpha 90.00
_cell_angle_beta 109.48
_cell_angle_gamma 90.00
loop_
_symmetry_equiv_pos_as_xyz
'x,y,z'
'-x,-y,-z'
'-x,y,-z'
'x,-y,z'
'x+1/2,y+1/2,z'
'-x+1/2,-y+1/2,-z'
'-x+1/2,y+1/2,-z'
'x+1/2,-y+1/2,z'
loop_
_atom_site_label
_atom_site_fract_x
_atom_site_fract_y
_atom_site_fract_z
_atom_site_occupancy
Ac1 0.0000 0.1665 0.0000 1
La1 0.0000 0.0000 0.5000 1
La2 0.0000 0.3332 0.5000 1
Pr1 0.0000 0.5000 0.0000 1
P1 0.2408 0.5000 0.7444 1
P2 0.2484 0.3369 0.2558 1

***

# AcLaP2Pt2 (PBE-GGA, relaxed)
# theoretical density	10.25	g/cm³
# N(E_F)	2.1	states/eV/cell
# energy relative to the elements	-1365	meV per atom
data_AcLaP2Pt2
_chemical_formula_sum 'Ac1 La1 P2 Pt2'
_symmetry_space_group_name_H-M 'P -3 m 1'
_symmetry_Int_Tables_number 164
_symmetry_space_group_name_Hall '-P 3 2"'
_cell_length_a 4.2614
_cell_length_b 4.2614
_cell_length_c 8.4308
_cell_angle_alpha 90.00
_cell_angle_beta 90.00
_cell_angle_gamma 120.00
loop_
_atom_site_label
_atom_site_fract_x
_atom_site_fract_y
_atom_site_fract_z
_atom_site_occupancy
Ac1 0.0000 0.0000 0.0000 1
La1 0.0000 0.0000 0.5000 1
P1 0.3333 0.6667 0.2633 1
Pt1 0.3333 0.6667 0.7476 1

***

# Ac2LaPuP4 (PBE-GGA, relaxed)
# theoretical density	7.12	g/cm³
# N(E_F)	14.3	states/eV/cell
# energy relative to the elements	-1359	meV per atom
data_Ac2LaPuP4
_chemical_formula_sum 'Ac2 La1 Pu1 P4'
_symmetry_space_group_name_H-M 'P 1 2/m 1'
_symmetry_Int_Tables_number 10
_cell_length_a 7.4332
_cell_length_b 4.2982
_cell_length_c 7.4375
_cell_angle_alpha 90.00
_cell_angle_beta 109.46
_cell_angle_gamma 90.00
loop_
_symmetry_equiv_pos_as_xyz
'x,y,z'
'-x,-y,-z'
'-x,y,-z'
'x,-y,z'
loop_
_atom_site_label
_atom_site_fract_x
_atom_site_fract_y
_atom_site_fract_z
_atom_site_occupancy
Ac1 0.0000 0.0000 0.0000 1
Ac2 0.5000 0.5000 0.0000 1
La1 0.0000 0.5000 0.5000 1
Pu1 0.5000 0.0000 0.5000 1
P1 0.2527 0.0000 0.7336 1
P2 0.2662 0.5000 0.2730 1

***

Repeat the sixth record exactly.
# Ac2LaPuP4 (PBE-GGA, relaxed)
# theoretical density	7.12	g/cm³
# N(E_F)	14.3	states/eV/cell
# energy relative to the elements	-1359	meV per atom
data_Ac2LaPuP4
_chemical_formula_sum 'Ac2 La1 Pu1 P4'
_symmetry_space_group_name_H-M 'P 1 2/m 1'
_symmetry_Int_Tables_number 10
_cell_length_a 7.4332
_cell_length_b 4.2982
_cell_length_c 7.4375
_cell_angle_alpha 90.00
_cell_angle_beta 109.46
_cell_angle_gamma 90.00
loop_
_symmetry_equiv_pos_as_xyz
'x,y,z'
'-x,-y,-z'
'-x,y,-z'
'x,-y,z'
loop_
_atom_site_label
_atom_site_fract_x
_atom_site_fract_y
_atom_site_fract_z
_atom_site_occupancy
Ac1 0.0000 0.0000 0.0000 1
Ac2 0.5000 0.5000 0.0000 1
La1 0.0000 0.5000 0.5000 1
Pu1 0.5000 0.0000 0.5000 1
P1 0.2527 0.0000 0.7336 1
P2 0.2662 0.5000 0.2730 1

***

- Which of these has the lowest N(E_F)?
  AcLaPm2P4

***

- theoretical density of number 5 (AcLaP2Pt2)?
  10.25 g/cm³

***

- Among the records above, which one has the highest N(E_F)?
  Ac2LaPuP4